1.
Material: Y4Pd6Pt7
Method: DFT, PBE
State: optimized geometry

Computed properties:
N(E_F) = 5.49 states/eV/f.u.
E_form = -0.814 eV per atom

Unit cell a=8.5411 b=8.5411 c=8.5411 alpha=90.00 beta=90.00 gamma=90.00
Last column: nearest neighbours and their distance in Å.
Space group Im-3m (No. 229)
One atom of each set of equivalent atoms:
Y1 0.2500 0.2500 0.2500 [8 per cell]  6 Pt 3.02, 6 Pd 3.05
Pd1 0.0000 0.0000 0.3012 [12 per cell]  5 Pt 2.57-2.73
Pt1 0.0000 0.0000 0.0000 [2 per cell]  6 Pd 2.57
Pt2 0.0000 0.2500 0.5000 [12 per cell]  4 Pd 2.73, 4 Pt 3.02, 4 Y 3.02

=====

2.
Material: Y2Pd3Pt
Method: DFT, PBE
State: optimized geometry

Computed properties:
N(E_F) = 3.37 states/eV/f.u.
Energy above the most stable polymorph in this dataset = 90 meV per atom
E_form = -0.601 eV per atom

Unit cell a=7.5595 b=8.3421 c=8.6505 alpha=90.00 beta=90.00 gamma=90.00
Last column: nearest neighbours and their distance in Å.
Space group Ibam (No. 72)
One atom of each set of equivalent atoms:
Y1 0.2015 0.1896 0.0000 [8 per cell]  2 Pt 2.76-3.00, 4 Pd 2.87-3.08
Pd1 0.0000 0.0000 0.2500 [4 per cell]  2 Pd 2.69
Pd2 0.0000 0.3222 0.2500 [8 per cell]  2 Pt 2.62, 1 Pd 2.69, 2 Y 2.87
Pt1 0.0000 0.5000 0.0000 [4 per cell]  4 Pd 2.62, 2 Y 2.76

=====

3.
Material: YPd2Pt5
Method: DFT, PBE
State: optimized geometry

Computed properties:
N(E_F) = 13.53 states/eV/f.u.
E_form = -0.448 eV per atom

Unit cell a=5.7311 b=11.6243 c=3.9922 alpha=90.00 beta=90.00 gamma=90.00
Last column: nearest neighbours and their distance in Å.
Space group Pbam (No. 55)
One atom of each set of equivalent atoms:
Y1 0.0000 0.0000 0.0000 [2 per cell]  4 Pd 2.86, 8 Pt 2.87-2.93
Pd1 0.2504 0.1262 0.5000 [4 per cell]  10 Pt 2.78-2.98, 2 Y 2.86
Pt1 0.0000 0.5000 0.0000 [2 per cell]  6 Pt 2.84-2.93, 4 Pd 2.86, 2 Y 2.87
Pt2 0.0138 0.7519 0.0000 [4 per cell]  7 Pt 2.82-2.93, 4 Pd 2.82-2.88, 1 Y 2.89
Pt3 0.2351 0.3699 0.5000 [4 per cell]  4 Pd 2.78-2.98, 6 Pt 2.82-2.84, 2 Y 2.93

=====

4.
Material: YPd2Pt
Method: DFT, PBE
State: optimized geometry

Computed properties:
N(E_F) = 1.85 states/eV/f.u.
Energy above the most stable polymorph in this dataset = 328 meV per atom
E_form = -0.571 eV per atom

Unit cell a=4.0422 b=4.0422 c=19.1472 alpha=90.00 beta=90.00 gamma=90.00
Last column: nearest neighbours and their distance in Å.
Space group I-42d (No. 122)
One atom of each set of equivalent atoms:
Y1 0.0000 0.0000 0.0000 [4 per cell]  4 Pd 2.82, 4 Pt 2.86
Pd1 0.2309 0.2500 0.6250 [8 per cell]  4 Pd 2.75-2.97, 2 Pt 2.76, 2 Y 2.82
Pt1 0.0000 0.0000 0.5000 [4 per cell]  4 Pd 2.76, 4 Y 2.86

=====

5.
Material: YPd3Pt2
Method: DFT, PBE
State: optimized geometry

Computed properties:
N(E_F) = 6.47 states/eV/f.u.
Energy above the most stable polymorph in this dataset = 0 meV per atom
E_form = -0.583 eV per atom

Unit cell a=5.7258 b=5.7258 c=21.4128 alpha=90.00 beta=90.00 gamma=120.00
Last column: nearest neighbours and their distance in Å.
Space group R-3m (No. 166, hexagonal axes)
One atom of each set of equivalent atoms:
Y1 0.0000 0.0000 0.2193 [6 per cell]  9 Pd 2.87-2.90, 3 Pt 2.95
Pd1 0.0063 0.5031 0.2242 [18 per cell]  6 Pd 2.81-2.95, 3 Pt 2.85-2.88, 3 Y 2.87-2.90
Pt1 0.0000 0.0000 0.0000 [3 per cell]  6 Pt 2.86, 6 Pd 2.88
Pt2 0.0000 0.5000 0.0000 [9 per cell]  4 Pd 2.85, 6 Pt 2.86, 2 Y 2.95

=====

6.
Material: Y2PdPt4
Method: DFT, PBE
State: optimized geometry

Computed properties:
N(E_F) = 5.07 states/eV/f.u.
Energy above the most stable polymorph in this dataset = 78 meV per atom
E_form = -0.731 eV per atom

Unit cell a=5.4936 b=9.0607 c=11.1564 alpha=90.00 beta=90.00 gamma=90.00
Last column: nearest neighbours and their distance in Å.
Space group Fmmm (No. 69)
One atom of each set of equivalent atoms:
Y1 0.0000 0.0000 0.1443 [8 per cell]  8 Pt 2.90-3.10, 2 Pd 3.18, 1 Y 3.22
Pd1 0.0000 0.0000 0.5000 [4 per cell]  4 Pt 2.65
Pt1 0.2500 0.2500 0.0000 [8 per cell]  2 Pd 2.65, 4 Pt 2.75-2.79
Pt2 0.2500 0.2500 0.2500 [8 per cell]  4 Pt 2.75-2.79, 4 Y 2.90

=====

7.
Material: Y5Pd2Pt
Method: DFT, PBE
State: optimized geometry

Computed properties:
N(E_F) = 9.31 states/eV/f.u.
E_form = -0.764 eV per atom

Unit cell a=7.3328 b=7.3328 c=14.7019 alpha=90.00 beta=90.00 gamma=90.00
Last column: nearest neighbours and their distance in Å.
Space group I4/mcm (No. 140)
One atom of each set of equivalent atoms:
Y1 0.0000 0.0000 0.0000 [4 per cell]  4 Pd 2.86
Y2 0.1695 0.3305 0.1488 [16 per cell]  3 Pd 3.00-3.13, 2 Pt 3.10
Pd1 0.1327 0.3673 0.5000 [8 per cell]  1 Pd 2.75, 4 Y 2.86-3.00
Pt1 0.0000 0.0000 0.2500 [4 per cell]  8 Y 3.10

=====

8.
Material: Y2Pd7Pt3
Method: DFT, PBE
State: optimized geometry

Computed properties:
N(E_F) = 10.85 states/eV/f.u.
E_form = -0.528 eV per atom

Unit cell a=4.9423 b=5.7598 c=7.7451 alpha=99.00 beta=95.98 gamma=107.25
Last column: nearest neighbours and their distance in Å.
Space group P-1 (No. 2)
One atom of each set of equivalent atoms:
Y1 0.0095 0.1957 0.1809 [2 per cell]  4 Pt 2.81-2.96, 7 Pd 2.84-3.06
Pd1 0.0000 0.0000 0.5000 [1 per cell]  6 Pd 2.80-2.86, 4 Pt 2.84-2.88, 2 Y 2.87
Pd2 0.4817 0.4057 0.6580 [2 per cell]  4 Pt 2.79-2.95, 7 Pd 2.80-3.10, 1 Y 2.86
Pd3 0.4898 0.7423 0.0130 [2 per cell]  3 Pt 2.79-2.97, 6 Pd 2.80-3.10, 3 Y 2.90-3.06
Pd4 0.4990 0.9160 0.6641 [2 per cell]  2 Pt 2.81-2.89, 2 Y 2.84-2.88, 8 Pd 2.85-3.02
Pt1 0.0000 0.5000 0.5000 [1 per cell]  8 Pd 2.80-2.90, 2 Y 2.81, 2 Pt 2.87
Pt2 0.0050 0.6887 0.1780 [2 per cell]  7 Pd 2.79-2.97, 3 Y 2.85-2.96, 1 Pt 2.87